Computed, not measured: an optimized crystal structure of CuAgHgPt at the PBE level of DFT.

The space group is F-43m (No. 216) and the conventional cell measures 6.461, 6.461 and 6.461 Å, with angles of 90.00, 90.00 and 90.00 degrees. The inequivalent atoms are Cu at (0.000, 0.000, 0.000), Ag at (0.250, 0.250, 0.750), Hg at (0.000, 0.000, 0.500) and Pt at (0.250, 0.250, 0.250).

The theoretical density is 14.0 g cm⁻³. As for the magnetic moment: 0.00 μB per cell. The formation enthalpy at 0 K comes out at 73 meV/atom.